1.
# K3ScAl2O6

Crystalline K3ScAl2O6 at its relaxed geometry (PBE-GGA, Alexandria).

Cell: 5.8882 5.8882 6.9369 Å, 90.00 90.00 120.00°
Space group P-3m1 (No. 164)
Inequivalent atoms, fractional coordinates:
K  0.0000  0.0000  0.0000
K  0.3333  0.6667  0.7510
Sc  0.0000  0.0000  0.5000
Al  0.3333  0.6667  0.3084
O  0.1662  0.3325  0.3078

## Properties
**ΔE_f (raw)**: -2.35 eV/atom
**VASP energy**: -0.460 Ry per atom

2.
# K2AlSe2O6

Crystalline K2AlSe2O6 at its relaxed geometry (PBE-GGA, Alexandria).

Cell: 8.757 5.869 6.718 Å, 90.00 107.91 90.00°
Space group C2/m (No. 12)
Inequivalent atoms, fractional coordinates:
K  0.196  0.000  0.120
Al  0.000  0.000  0.500
Se  0.085  0.500  0.273
O  0.022  0.223  0.719
O  0.236  0.000  0.529

## Properties
**ΔE_f (raw)**: -1.34 eV/atom
**VASP energy**: -0.384 Ry per atom

3.
# KAl2SeO6

Crystalline KAl2SeO6 at its relaxed geometry (PBE-GGA, Alexandria).

Cell: 10.260 10.726 5.933 Å, 90.00 110.40 90.00°
Space group C2/c (No. 15)
Inequivalent atoms, fractional coordinates:
K  0.000  0.141  0.250
Al  0.241  0.079  0.838
Se  0.000  0.307  0.750
O  0.092  0.345  0.072
O  0.119  0.208  0.702
O  0.210  0.014  0.084

## Properties
**ΔE_f (raw)**: -1.91 eV/atom
**VASP energy**: -0.448 Ry per atom

- ΔE_f (raw) of number 1 (K3ScAl2O6)?
  -2.35 eV/atom